(1)
BeAgCl2: optimized geometry, PBE-GGA.

Unit cell a=6.713 b=6.713 c=6.713 alpha=90.00 beta=90.00 gamma=90.00
Fractional positions:
Be 0.000 0.000 0.000
Be 0.000 0.500 0.500
Be 0.500 0.000 0.500
Be 0.500 0.500 0.000
Ag 0.000 0.000 0.500
Ag 0.000 0.500 0.000
Ag 0.500 0.000 0.000
Ag 0.500 0.500 0.500
Cl 0.250 0.250 0.250
Cl 0.250 0.250 0.750
Cl 0.250 0.750 0.250
Cl 0.250 0.750 0.750
Cl 0.750 0.250 0.250
Cl 0.750 0.250 0.750
Cl 0.750 0.750 0.250
Cl 0.750 0.750 0.750

## Properties
Distance to the lowest polymorph of the same formula (eV per atom): 0.910
Uncorrected formation energy (kcal/mol of atoms): 6.170


(2)
RbGeAsN2: optimized geometry, PBE-GGA.

Unit cell a=4.274 b=4.274 c=5.018 alpha=90.00 beta=90.00 gamma=90.00
Fractional positions:
Rb 0.000 0.000 0.000
Ge 0.500 0.500 0.000
As 0.500 0.500 0.500
N 0.000 0.500 0.500
N 0.500 0.000 0.500

## Properties
Uncorrected formation energy (kcal/mol of atoms): 32.250


(3)
La23Mg4Rh7: optimized geometry, PBE-GGA.

Unit cell a=10.212 b=10.212 c=23.081 alpha=90.00 beta=90.00 gamma=120.00
Fractional positions:
La 0.000 0.000 0.087
La 0.000 0.000 0.587
La 0.081 0.540 0.000
La 0.082 0.541 0.730
La 0.128 0.255 0.452
La 0.128 0.872 0.452
La 0.205 0.411 0.304
La 0.205 0.795 0.304
La 0.207 0.415 0.866
La 0.207 0.793 0.866
La 0.208 0.415 0.137
La 0.208 0.792 0.137
La 0.209 0.419 0.595
La 0.209 0.791 0.595
La 0.255 0.128 0.952
La 0.333 0.667 0.440
La 0.411 0.205 0.804
La 0.415 0.207 0.366
La 0.415 0.208 0.637
La 0.419 0.209 0.095
La 0.459 0.541 0.730
La 0.459 0.918 0.730
La 0.460 0.540 0.000
La 0.460 0.919 0.000
La 0.540 0.081 0.500
La 0.540 0.460 0.500
La 0.541 0.082 0.230
La 0.541 0.459 0.230
La 0.581 0.791 0.595
La 0.585 0.792 0.137
La 0.585 0.793 0.866
La 0.589 0.795 0.304
La 0.667 0.333 0.940
La 0.745 0.872 0.452
La 0.791 0.209 0.095
La 0.791 0.581 0.095
La 0.792 0.208 0.637
La 0.792 0.585 0.637
La 0.793 0.207 0.366
La 0.793 0.585 0.366
La 0.795 0.205 0.804
La 0.795 0.589 0.804
La 0.872 0.128 0.952
La 0.872 0.745 0.952
La 0.918 0.459 0.230
La 0.919 0.460 0.500
Mg 0.000 0.000 0.336
Mg 0.000 0.000 0.836
Mg 0.105 0.210 0.723
Mg 0.105 0.895 0.723
Mg 0.210 0.105 0.223
Mg 0.790 0.895 0.723
Mg 0.895 0.105 0.223
Mg 0.895 0.790 0.223
Rh 0.040 0.520 0.374
Rh 0.144 0.288 0.023
Rh 0.144 0.856 0.023
Rh 0.288 0.144 0.523
Rh 0.333 0.667 0.220
Rh 0.480 0.520 0.374
Rh 0.480 0.960 0.374
Rh 0.520 0.040 0.874
Rh 0.520 0.480 0.874
Rh 0.667 0.333 0.720
Rh 0.712 0.856 0.023
Rh 0.856 0.144 0.523
Rh 0.856 0.712 0.523
Rh 0.960 0.480 0.874

## Properties
Formation enthalpy at 0 K (meV per atom): -424


The calculation returns the following ρ values, one per record and in order: 4.12, 4.73, 6.39 g cm⁻³.
The calculation returns the following total DFT energy (no corrections) values, one per record and in order: -2.30, -3.98, -5.46 eV per atom.
The calculation returns the following Fermi-level density of states values, one per record and in order: 0.6257, 0.7774, 1.0447 states/eV per atom.